Cl | SCAN | PBEsol geometry

Values from the calculation:
M_tot = 0.00 μB/cell
relative energy among the computed polymorphs = 7.5 kJ/mol of atoms
calculated volume = 58.930 A^3/atom
DOS(E_F) = 0.0 states/eV/f.u.

Unit cell a=10.497 b=10.497 c=8.558 alpha=90.00 beta=90.00 gamma=90.00
Atoms (fractional coordinates):
Cl  0.111  0.651  0.111
Cl  0.111  0.849  0.611
Cl  0.151  0.611  0.889
Cl  0.151  0.889  0.389
Cl  0.349  0.611  0.389
Cl  0.349  0.889  0.889
Cl  0.389  0.651  0.611
Cl  0.389  0.849  0.111
Cl  0.611  0.151  0.889
Cl  0.611  0.349  0.389
Cl  0.651  0.111  0.111
Cl  0.651  0.389  0.611
Cl  0.849  0.111  0.611
Cl  0.849  0.389  0.111
Cl  0.889  0.151  0.389
Cl  0.889  0.349  0.889

=====

BaAs3Ru | SCAN | PBEsol geometry

Values from the calculation:
M_tot = 0.00 μB/cell
calculated formation energy = -0.1768 eV/atom
calculated volume = 23.357 A^3/atom
DOS(E_F) = 5.1 states/eV/f.u.

Unit cell a=4.888 b=4.888 c=4.888 alpha=90.00 beta=90.00 gamma=90.00
Atoms (fractional coordinates):
Ba  0.000  0.000  0.000
As  0.000  0.500  0.500
As  0.500  0.000  0.500
As  0.500  0.500  0.000
Ru  0.500  0.500  0.500

=====

LiNiF3 | SCAN | PBEsol geometry

Values from the calculation:
M_tot = 2.00 μB/cell
calculated volume = 11.886 A^3/atom
DOS(E_F) = 0.0 states/eV/f.u.
energy = -41.1 eV for the cell shown

Unit cell a=3.902 b=3.902 c=3.902 alpha=90.00 beta=90.00 gamma=90.00
Atoms (fractional coordinates):
Li  0.000  0.000  0.000
Ni  0.500  0.500  0.500
F  0.000  0.500  0.500
F  0.500  0.000  0.500
F  0.500  0.500  0.000

=====

Ba2TaOs | SCAN | PBEsol geometry

Values from the calculation:
M_tot = 0.62 μB/cell
calculated formation energy = 1.4617 eV/atom
relative energy among the computed polymorphs = 105.7 kJ/mol of atoms
calculated volume = 24.674 A^3/atom
DOS(E_F) = 3.4 states/eV/f.u.

Unit cell a=3.098 b=5.432 c=5.864 alpha=90.00 beta=90.00 gamma=90.00
Atoms (fractional coordinates):
Ba  0.000  0.000  0.248
Ba  0.000  0.000  0.752
Ta  0.500  0.500  0.500
Os  0.500  0.500  0.000

=====

MgTcIr2 | SCAN | PBEsol geometry

Values from the calculation:
M_tot = 0.00 μB/cell
calculated formation energy = -0.3839 eV/atom
calculated volume = 14.518 A^3/atom
DOS(E_F) = 2.2 states/eV/f.u.

Unit cell a=2.775 b=2.775 c=7.539 alpha=90.00 beta=90.00 gamma=90.00
Atoms (fractional coordinates):
Mg  0.000  0.000  0.000
Tc  0.000  0.000  0.500
Ir  0.500  0.500  0.265
Ir  0.500  0.500  0.735

=====

TcHPb2F | SCAN | PBEsol geometry

Values from the calculation:
M_tot = 1.84 μB/cell
calculated volume = 20.693 A^3/atom
DOS(E_F) = 2.4 states/eV/f.u.
energy = -190.5 eV for the cell shown

Unit cell a=5.162 b=5.162 c=3.883 alpha=90.00 beta=90.00 gamma=90.00
Atoms (fractional coordinates):
Tc  0.000  0.000  0.000
H  0.500  0.500  0.000
Pb  0.000  0.500  0.500
Pb  0.500  0.000  0.500
F  0.000  0.000  0.500